Below is crystalline Li2VF6 at its relaxed geometry, with properties calculated at the PBE+U level.

Cell lengths 8.965, 5.818, 5.215 Å; angles 56.16, 90.00, 90.00 degrees
Fractional coordinates of all 18 atoms:
Li 0.665 0.865 0.020
Li 0.336 0.484 0.265
Li 0.836 0.516 0.735
Li 0.165 0.135 0.980
V 0.998 0.500 0.239
V 0.498 0.500 0.761
F 0.151 0.739 0.212
F 0.503 0.701 0.319
F 0.843 0.709 0.272
F 0.365 0.737 0.758
F 0.986 0.720 0.812
F 0.660 0.709 0.775
F 0.343 0.291 0.728
F 0.003 0.299 0.681
F 0.651 0.261 0.788
F 0.160 0.291 0.225
F 0.486 0.280 0.188
F 0.865 0.263 0.242

D(E_F) in states/eV/f.u.: 0.00
SG: P2_1
Total DFT energy (no corrections) in eV/atom: -5.34
Calculated density in g/cm³: 2.6